[1]
Computed, not measured: a geometry-optimized Sm4Er5Th structure at the PBE-GGA level of DFT. Values from VASP.

The structure in Quantum ESPRESSO input format:
```
&SYSTEM
  ibrav = 0, nat = 10, ntyp = 3
/
ATOMIC_SPECIES
Sm 150.36 Sm.upf
Er 167.26 Er.upf
Th 232.04 Th.upf
CELL_PARAMETERS angstrom
6.105 0.000 0.000
3.052 7.411 0.000
3.052 0.000 7.411
ATOMIC_POSITIONS angstrom
Sm 5.808 2.368 5.038
Sm 8.860 5.038 5.043
Sm 2.756 2.373 2.368
Sm 5.808 5.043 2.373
Er 5.779 2.790 0.004
Er 2.727 0.004 4.621
Er 8.832 7.407 2.790
Er 5.779 4.621 7.407
Er 4.247 0.000 0.000
Th 1.356 0.000 0.000
```

ΔE_f = 0.287 eV/atom
calculated density = 8.3 g/cm³
energy relative to the lowest polymorph listed for this composition = 0.96 eV per formula unit
E = -4.624 eV per atom


[2]
Computed, not measured: a geometry-optimized Pa2SeI2 structure at the PBE-GGA level of DFT. Values from VASP.

The structure in Quantum ESPRESSO input format:
```
&SYSTEM
  ibrav = 0, nat = 5, ntyp = 3
/
ATOMIC_SPECIES
Pa 231.04 Pa.upf
Se 78.96 Se.upf
I 126.90 I.upf
CELL_PARAMETERS angstrom
-1.281 -2.265 3.311
0.140 -4.207 -0.145
9.749 -1.960 5.109
ATOMIC_POSITIONS angstrom
Pa 0.534 -4.289 2.629
Pa 8.073 -4.142 5.646
Se 0.000 0.000 0.000
I 2.837 -2.095 2.343
I 5.771 -6.337 5.933
```

calculated density = 7.9 g/cm³
E = -6.035 eV per atom
E_form (uncorrected) = -89 kJ per mole of atoms


[3]
Computed, not measured: a geometry-optimized AcNd4Ir4 structure at the PBE-GGA level of DFT. Values from VASP.

The structure in Quantum ESPRESSO input format:
```
&SYSTEM
  ibrav = 0, nat = 18, ntyp = 3
/
ATOMIC_SPECIES
Ac 227.00 Ac.upf
Nd 144.24 Nd.upf
Ir 192.22 Ir.upf
CELL_PARAMETERS angstrom
5.808 0.000 0.000
0.000 9.285 0.000
0.000 0.000 9.285
ATOMIC_POSITIONS angstrom
Ac 0.000 0.000 0.000
Ac 2.904 4.642 4.642
Nd 2.322 3.079 8.391
Nd 5.226 5.536 7.721
Nd 2.322 6.206 0.893
Nd 0.582 1.564 5.536
Nd 3.486 8.391 6.206
Nd 0.582 7.721 3.749
Nd 5.226 3.749 1.564
Nd 3.486 0.893 3.079
Ir 3.502 7.317 3.380
Ir 3.502 1.968 5.905
Ir 0.598 8.022 6.610
Ir 5.211 2.675 8.022
Ir 5.211 6.610 1.263
Ir 2.307 3.380 1.968
Ir 2.307 5.905 7.317
Ir 0.598 1.263 2.675
```

ΔE_f = -0.534 eV/atom
calculated density = 10.4 g/cm³
E = -7.047 eV per atom


[4]
Computed, not measured: a geometry-optimized Cs2LiI structure at the PBE-GGA level of DFT. Values from VASP.

The structure in Quantum ESPRESSO input format:
```
&SYSTEM
  ibrav = 0, nat = 8, ntyp = 3
/
ATOMIC_SPECIES
Cs 132.91 Cs.upf
I 126.90 I.upf
Li 6.94 Li.upf
CELL_PARAMETERS angstrom
-2.380 6.432 7.973
4.725 -6.573 6.713
5.965 2.620 6.604
ATOMIC_POSITIONS angstrom
Cs 0.514 4.070 7.742
Cs 4.227 -2.866 6.575
Cs 5.194 2.133 10.234
Cs 6.685 1.620 18.029
I 0.000 0.000 0.000
I 2.379 4.491 10.960
Li 1.172 -0.070 7.343
Li 5.931 -2.012 10.330
```

calculated density = 2.2 g/cm³
energy relative to the lowest polymorph listed for this composition = 0.39 eV per formula unit
E = -1.816 eV per atom
E_form (uncorrected) = -51 kJ per mole of atoms


[5]
Computed, not measured: a geometry-optimized VSiTc2P structure at the PBE-GGA level of DFT. Values from VASP.

The structure in Quantum ESPRESSO input format:
```
&SYSTEM
  ibrav = 0, nat = 5, ntyp = 4
/
ATOMIC_SPECIES
P 30.97 P.upf
Si 28.09 Si.upf
Tc 98.00 Tc.upf
V 50.94 V.upf
CELL_PARAMETERS angstrom
4.438 0.000 0.000
0.000 4.326 0.000
0.000 0.000 4.438
ATOMIC_POSITIONS angstrom
P 0.000 2.163 0.000
Si 0.000 0.000 0.000
Tc 0.000 0.000 2.219
Tc 2.219 0.000 0.000
V 2.219 2.163 2.219
```

calculated density = 6.0 g/cm³
E = -6.933 eV per atom
E_form (uncorrected) = 116 kJ per mole of atoms


[6]
Computed, not measured: a geometry-optimized Bi3PbAu3 structure at the PBE-GGA level of DFT. Values from VASP.

The structure in Quantum ESPRESSO input format:
```
&SYSTEM
  ibrav = 0, nat = 14, ntyp = 3
/
ATOMIC_SPECIES
Bi 208.98 Bi.upf
Pb 207.20 Pb.upf
Au 196.97 Au.upf
CELL_PARAMETERS angstrom
-6.871 -4.330 -2.989
-3.238 -6.632 4.520
-6.835 -0.070 3.286
ATOMIC_POSITIONS angstrom
Bi -5.221 -4.222 2.387
Bi -9.586 -5.909 -0.886
Bi -8.473 -8.626 4.013
Bi -8.471 -2.405 0.805
Bi -7.358 -5.122 5.703
Bi -11.724 -6.809 2.430
Pb -7.422 -6.602 1.567
Pb -9.522 -4.429 3.250
Au -9.899 -6.699 5.664
Au -11.583 -4.427 0.627
Au -7.044 -2.204 3.425
Au -9.900 -8.827 1.392
Au -5.361 -6.605 4.190
Au -7.045 -4.332 -0.847
```

ΔE_f = 0.009 eV/atom
calculated density = 12.8 g/cm³
energy relative to the lowest polymorph listed for this composition = 0.00 eV per formula unit
E = -3.589 eV per atom


[7]
Computed, not measured: a geometry-optimized Nd5Dy6Tm structure at the PBE-GGA level of DFT. Values from VASP.

The structure in Quantum ESPRESSO input format:
```
&SYSTEM
  ibrav = 0, nat = 12, ntyp = 3
/
ATOMIC_SPECIES
Nd 144.24 Nd.upf
Dy 162.50 Dy.upf
Tm 168.93 Tm.upf
CELL_PARAMETERS angstrom
-10.975 -2.004 4.066
0.980 -5.236 3.237
1.585 0.307 6.018
ATOMIC_POSITIONS angstrom
Nd -4.268 -1.670 6.584
Nd 0.855 -1.644 3.083
Nd -4.998 -3.620 3.651
Nd 1.710 -3.284 6.172
Nd -4.143 -5.262 6.737
Dy -7.640 -1.835 5.323
Dy -1.627 -3.460 4.906
Dy -2.486 -1.808 1.821
Dy -7.510 -5.432 5.482
Dy -6.783 -3.473 8.416
Dy -0.770 -5.097 7.998
Tm 0.000 0.000 0.000
```

ΔE_f = 0.014 eV/atom
calculated density = 7.9 g/cm³
energy relative to the lowest polymorph listed for this composition = 0.00 eV per formula unit
E = -4.646 eV per atom


[8]
Computed, not measured: a geometry-optimized CaOs2Rh structure at the PBE-GGA level of DFT. Values from VASP.

The structure in Quantum ESPRESSO input format:
```
&SYSTEM
  ibrav = 0, nat = 4, ntyp = 3
/
ATOMIC_SPECIES
Rh 102.91 Rh.upf
Ca 40.08 Ca.upf
Os 190.23 Os.upf
CELL_PARAMETERS angstrom
5.715 0.005 -0.001
3.009 4.858 0.001
-3.716 -3.590 2.441
ATOMIC_POSITIONS angstrom
Rh 4.605 2.567 0.000
Ca 1.843 1.859 1.221
Os 8.429 4.699 0.000
Os 3.215 -0.557 1.220
```

ΔE_f = 0.440 eV/atom
calculated density = 12.8 g/cm³
energy relative to the lowest polymorph listed for this composition = 0.89 eV per formula unit
E = -7.514 eV per atom


[9]
Computed, not measured: a geometry-optimized Pr8PdSe3I4 structure at the PBE-GGA level of DFT. Values from VASP.

The structure in Quantum ESPRESSO input format:
```
&SYSTEM
  ibrav = 0, nat = 16, ntyp = 4
/
ATOMIC_SPECIES
Pr 140.91 Pr.upf
Pd 106.42 Pd.upf
Se 78.96 Se.upf
I 126.90 I.upf
CELL_PARAMETERS angstrom
8.659 0.000 0.000
0.000 9.224 0.392
-4.330 -4.329 6.126
ATOMIC_POSITIONS angstrom
Pr -2.203 2.253 6.211
Pr 0.000 4.457 3.090
Pr 0.000 0.480 3.403
Pr 2.203 2.253 6.211
Pr 2.127 2.641 0.307
Pr 4.330 4.414 3.115
Pr 4.330 0.437 3.429
Pr 6.532 2.641 0.307
Pd 0.000 4.612 0.196
Se 4.330 4.612 0.196
Se 2.165 2.447 3.259
Se -2.165 2.447 3.259
I 4.330 0.000 0.000
I 2.165 -2.165 3.063
I 0.000 0.000 0.000
I -2.165 -2.165 3.063
```

calculated density = 6.5 g/cm³
E = -4.982 eV per atom
E_form (uncorrected) = -118 kJ per mole of atoms


[10]
Computed, not measured: a geometry-optimized Fe2Mo structure at the PBE-GGA level of DFT. Values from VASP.

The structure in Quantum ESPRESSO input format:
```
&SYSTEM
  ibrav = 0, nat = 12, ntyp = 2
/
ATOMIC_SPECIES
Mo 95.94 Mo.upf
Fe 55.84 Fe.upf
CELL_PARAMETERS angstrom
5.187 0.000 0.000
0.000 3.641 0.000
0.000 0.000 7.788
ATOMIC_POSITIONS angstrom
Mo 3.335 0.910 4.658
Mo 4.445 2.731 0.764
Mo 0.742 0.910 7.024
Mo 1.852 2.731 3.130
Fe 0.626 0.910 1.972
Fe 1.967 2.731 5.866
Fe 3.220 0.910 1.922
Fe 4.560 2.731 5.817
Fe 0.638 0.910 4.500
Fe 1.955 2.731 0.606
Fe 3.232 0.910 7.183
Fe 4.548 2.731 3.288
```

ΔE_f = 0.141 eV/atom
calculated density = 9.4 g/cm³
E = -9.111 eV per atom


[11]
Computed, not measured: a geometry-optimized Tc2NiTe structure at the PBE-GGA level of DFT. Values from VASP.

The structure in Quantum ESPRESSO input format:
```
&SYSTEM
  ibrav = 0, nat = 4, ntyp = 3
/
ATOMIC_SPECIES
Ni 58.69 Ni.upf
Tc 98.00 Tc.upf
Te 127.60 Te.upf
CELL_PARAMETERS angstrom
-4.919 -5.081 5.118
-2.465 -6.697 5.028
-2.710 -4.504 6.970
ATOMIC_POSITIONS angstrom
Ni -7.548 -12.175 12.799
Tc -0.009 -0.015 0.016
Tc -2.583 -4.167 4.380
Te -5.001 -8.067 8.480
```

calculated density = 9.9 g/cm³
E = -6.970 eV per atom
E_form (uncorrected) = 43 kJ per mole of atoms


[12]
Computed, not measured: a geometry-optimized LaSNO2 structure at the PBE-GGA level of DFT. Values from VASP.

The structure in Quantum ESPRESSO input format:
```
&SYSTEM
  ibrav = 0, nat = 5, ntyp = 4
/
ATOMIC_SPECIES
S 32.06 S.upf
N 14.01 N.upf
O 16.00 O.upf
La 138.91 La.upf
CELL_PARAMETERS angstrom
-1.388 0.195 3.903
3.877 -0.455 1.402
0.653 5.446 -0.039
ATOMIC_POSITIONS angstrom
S 1.571 2.593 2.633
N 0.327 2.723 -0.020
O 1.938 -0.227 0.701
O -0.694 0.097 1.952
La 0.000 0.000 0.000
```

calculated density = 3.8 g/cm³
E = -5.115 eV per atom
E_form (uncorrected) = 33 kJ per mole of atoms


Number 1: DOS(E_F) 15.02 states/eV/cell. Number 2: DOS(E_F) 7.63 states/eV/cell. Number 3: DOS(E_F) 7.76 states/eV/cell. Number 4: DOS(E_F) 0.00 states/eV/cell. Number 5: DOS(E_F) 8.17 states/eV/cell. Number 6: DOS(E_F) 5.55 states/eV/cell. Number 7: DOS(E_F) 14.58 states/eV/cell. Number 8: DOS(E_F) 3.66 states/eV/cell. Number 9: DOS(E_F) 14.04 states/eV/cell. Number 10: DOS(E_F) 13.31 states/eV/cell. Number 11: DOS(E_F) 3.23 states/eV/cell. Number 12: DOS(E_F) 9.43 states/eV/cell.